<one>
Density functional theory data (PBE) for crystalline Sn2SbSe4 at its relaxed geometry.

Structure (POSCAR):
```
Sn2SbSe4
1.0
2.012 -6.748 0.000
2.012 6.748 0.000
0.000 0.000 14.175
Sn Sb Se
4 2 8
Cartesian
2.012 4.953 7.982
2.012 4.953 13.281
2.012 -4.953 0.894
2.012 -4.953 6.194
2.012 1.574 10.632
2.012 -1.574 3.544
2.012 6.389 10.632
2.012 3.706 1.720
2.012 3.706 5.368
2.012 0.000 0.000
2.012 0.000 7.088
2.012 -3.706 8.808
2.012 -3.706 12.456
2.012 -6.389 3.544
```

Summary:
* total moment: 0.0 μB/cell
* SG: No. 63

<two>
Density functional theory data (PBE) for crystalline Sn2SbSe4 at its relaxed geometry.

Structure (POSCAR):
```
Sn2SbSe4
1.0
0.000 7.040 4.162
7.009 0.000 4.162
7.009 7.040 0.000
Sn Sb Se
4 2 8
Cartesian
7.260 3.539 4.162
10.261 7.059 6.243
6.757 10.541 4.162
3.756 7.021 6.243
7.009 7.040 2.249
10.513 10.560 4.330
5.265 4.733 2.133
12.256 8.253 4.213
8.791 5.916 4.009
1.743 2.307 2.133
12.295 11.684 6.090
5.226 8.164 4.009
8.731 9.436 6.090
1.761 5.827 4.213
```

Summary:
* total moment: 0.0 μB/cell
* SG: No. 43

Least stable structure: <one>

<one>
Density functional theory data (PBE) for crystalline Sn2SbSe at its relaxed geometry.

Structure (POSCAR):
```
Sn2SbSe
1.0
-3.054 3.054 7.844
3.054 -3.054 7.844
3.054 3.054 -7.844
Sn Sb Se
4 2 2
Cartesian
4.581 1.376 -1.961
1.376 1.527 1.961
-1.527 1.678 5.883
1.678 1.527 9.806
3.054 0.000 3.922
0.000 0.000 7.844
0.000 0.000 0.000
0.000 3.054 3.922
```

Summary:
* total moment: 0.0 μB/cell
* SG: No. 122

<two>
Density functional theory data (PBE) for crystalline Sn2SbSe at its relaxed geometry.

Structure (POSCAR):
```
Sn2SbSe
1.0
2.051 1.184 8.227
-2.051 1.184 8.227
0.000 -2.368 8.227
Sn Sb Se
2 1 1
Cartesian
0.000 0.000 0.000
0.000 0.000 4.185
0.000 0.000 14.197
0.000 0.000 9.771
```

Summary:
* total moment: 0.0 μB/cell
* SG: No. 160

Least stable structure: <one>

<one>
Density functional theory data (PBE) for crystalline SnSb3Se at its relaxed geometry.

Structure (POSCAR):
```
SnSb3Se
1.0
5.617 0.000 0.000
0.000 5.617 0.000
0.000 0.000 5.617
Sn Sb Se
1 3 1
Cartesian
0.000 0.000 0.000
0.000 0.000 2.809
0.000 2.809 0.000
2.809 0.000 0.000
2.809 2.809 2.809
```

Summary:
* total moment: 0.0 μB/cell
* SG: No. 221

<two>
Density functional theory data (PBE) for crystalline SnSb3Se at its relaxed geometry.

Structure (POSCAR):
```
SnSb3Se
1.0
5.433 0.000 0.000
0.000 5.433 0.000
0.000 0.000 5.433
Sn Sb Se
1 3 1
Cartesian
0.000 0.000 0.000
0.000 2.716 2.716
2.716 0.000 2.716
2.716 2.716 0.000
2.716 2.716 2.716
```

Summary:
* total moment: 0.0 μB/cell
* SG: No. 221

Least stable structure: <one>

<one>
Density functional theory data (PBE) for crystalline Sn2SbSe2 at its relaxed geometry.

Structure (POSCAR):
```
Sn2SbSe2
1.0
-2.018 2.018 8.225
2.018 -2.018 8.225
2.018 2.018 -8.225
Sn Sb Se
2 1 2
Cartesian
0.000 0.000 1.664
0.000 0.000 14.787
0.000 0.000 8.225
2.018 0.000 4.113
0.000 2.018 4.113
```

Summary:
* total moment: 0.0 μB/cell
* SG: No. 139

<two>
Density functional theory data (PBE) for crystalline Sn2SbSe2 at its relaxed geometry.

Structure (POSCAR):
```
Sn2SbSe2
1.0
8.464 0.000 0.000
0.000 8.464 0.000
0.000 0.000 3.767
Sn Sb Se
4 2 4
Cartesian
1.581 2.651 0.000
2.651 6.883 0.000
5.812 1.581 0.000
6.883 5.812 0.000
0.000 0.000 0.000
4.232 4.232 0.000
1.209 5.441 1.883
3.023 1.209 1.883
5.441 7.255 1.883
7.255 3.023 1.883
```

Summary:
* total moment: 0.0 μB/cell
* SG: No. 127

Least stable structure: <one>

<one>
Density functional theory data (PBE) for crystalline SnSbTe2Se at its relaxed geometry.

Structure (POSCAR):
```
SnSbTe2Se
1.0
5.601 0.000 0.000
0.000 5.601 0.000
0.000 0.000 5.815
Sn Sb Te Se
1 1 2 1
Cartesian
0.000 0.000 0.000
0.000 0.000 2.908
0.000 2.800 0.000
2.800 0.000 0.000
2.800 2.800 2.908
```

Summary:
* total moment: 0.8 μB/cell
* SG: No. 123

<two>
Density functional theory data (PBE) for crystalline SnSbTe2Se at its relaxed geometry.

Structure (POSCAR):
```
SnSbTe2Se
1.0
5.461 0.000 0.000
0.000 5.461 0.000
0.000 0.000 5.475
Sn Sb Te Se
1 1 2 1
Cartesian
0.000 0.000 0.000
2.731 2.731 0.000
0.000 2.731 2.737
2.731 0.000 2.737
2.731 2.731 2.737
```

Summary:
* total moment: 0.0 μB/cell
* SG: No. 123

Least stable structure: <one>

<one>
Density functional theory data (PBE) for crystalline Sr2SbSe at its relaxed geometry.

Structure (POSCAR):
```
Sr2SbSe
1.0
-2.277 2.277 6.250
2.277 -2.277 6.250
2.277 2.277 -6.250
Sr Sb Se
2 1 1
Cartesian
0.000 0.000 0.000
0.000 2.277 3.125
2.277 0.000 3.125
0.000 0.000 6.250
```

Summary:
* total moment: 0.0 μB/cell
* SG: No. 119

<two>
Density functional theory data (PBE) for crystalline Sr2SbSe at its relaxed geometry.

Structure (POSCAR):
```
Sr2SbSe
1.0
-4.228 4.228 3.962
4.228 -4.228 3.962
4.228 4.228 -3.962
Sr Sb Se
4 2 2
Cartesian
2.114 1.895 -0.990
2.333 -2.114 4.952
2.114 2.333 2.971
1.895 6.342 0.990
4.228 0.000 1.981
0.000 0.000 3.962
0.000 0.000 0.000
0.000 4.228 1.981
```

Summary:
* total moment: 0.0 μB/cell
* SG: No. 122

Least stable structure: <one>

<one>
Density functional theory data (PBE) for crystalline Sr2SbSe at its relaxed geometry.

Structure (POSCAR):
```
Sr2SbSe
1.0
0.000 3.973 3.973
3.973 0.000 3.973
3.973 3.973 0.000
Sr Sb Se
2 1 1
Cartesian
1.986 1.986 1.986
5.959 5.959 5.959
0.000 0.000 0.000
3.973 3.973 3.973
```

Summary:
* total moment: 0.0 μB/cell
* SG: No. 225

<two>
Density functional theory data (PBE) for crystalline Sr2SbSe at its relaxed geometry.

Structure (POSCAR):
```
Sr2SbSe
1.0
4.789 0.000 0.000
0.000 6.581 0.000
0.000 0.000 4.427
Sr Sb Se
2 1 1
Cartesian
0.000 0.000 0.000
2.394 3.291 2.208
0.000 3.291 4.422
2.394 0.000 2.213
```

Summary:
* total moment: 0.0 μB/cell
* SG: No. 25

<three>
Density functional theory data (PBE) for crystalline Sr2SbSe at its relaxed geometry.

Structure (POSCAR):
```
Sr2SbSe
1.0
2.705 -2.708 0.000
2.705 2.708 0.000
0.000 0.000 8.304
Sr Sb Se
2 1 1
Cartesian
0.000 0.000 1.888
0.000 0.000 6.416
2.705 0.000 4.152
2.705 0.000 0.000
```

Summary:
* total moment: 0.0 μB/cell
* SG: No. 65

<four>
Density functional theory data (PBE) for crystalline Sr2SbSe at its relaxed geometry.

Structure (POSCAR):
```
Sr2SbSe
1.0
0.000 3.951 3.951
3.951 0.000 3.951
3.951 3.951 0.000
Sr Sb Se
2 1 1
Cartesian
0.000 0.000 0.000
1.976 1.976 1.976
3.951 3.951 3.951
5.927 5.927 5.927
```

Summary:
* total moment: 0.0 μB/cell
* SG: No. 216

Least stable structure: <four>

<one>
Density functional theory data (PBE) for crystalline Sr2SbSe at its relaxed geometry.

Structure (POSCAR):
```
Sr2SbSe
1.0
-1.980 2.082 8.334
1.980 -2.082 8.334
1.980 2.082 -8.334
Sr Sb Se
2 1 1
Cartesian
0.000 0.000 0.000
0.000 2.082 3.766
1.980 0.000 5.624
0.000 0.000 9.670
```

Summary:
* total moment: 0.0 μB/cell
* SG: No. 44

<two>
Density functional theory data (PBE) for crystalline Sr2SbSe at its relaxed geometry.

Structure (POSCAR):
```
Sr2SbSe
1.0
5.399 0.000 0.000
0.000 1.918 6.294
0.000 -1.918 6.294
Sr Sb Se
2 1 1
Cartesian
0.000 0.000 0.000
2.699 0.000 3.086
2.699 0.000 6.393
0.000 0.000 9.421
```

Summary:
* total moment: 0.0 μB/cell
* SG: No. 38

<three>
Density functional theory data (PBE) for crystalline Sr2SbSe at its relaxed geometry.

Structure (POSCAR):
```
Sr2SbSe
1.0
3.772 -2.225 0.000
3.772 2.225 0.000
-2.606 0.000 8.175
Sr Sb Se
2 1 1
Cartesian
1.246 0.000 1.830
3.691 0.000 6.345
-1.303 0.000 4.088
3.772 0.000 0.000
```

Summary:
* total moment: 0.0 μB/cell
* SG: No. 12

Least stable structure: <two>